No. 1
First-principles (PBE-GGA) data for DyPuIr after structural relaxation, as listed in Alexandria via LeMat-Bulk.

Lattice parameters (Å, degrees): 3.9339 5.7443 7.1859 91.46 74.45 69.93
Closest atoms and distances in Å follow each position.
Atoms (fractional coordinates):
1 Dy 0.7754 0.7688 0.5179  5 Ir 2.92-3.08
2 Dy 0.3507 0.3596 0.7782  5 Ir 2.92-3.08
3 Pu 0.4707 0.8274 0.0729  2 Ir 2.74-2.75
4 Pu 0.6554 0.3009 0.2232  2 Ir 2.74-2.75
5 Ir 0.0422 0.9351 0.8198  2 Pu 2.74-2.75, 1 Ir 2.91, 4 Dy 2.92-3.06
6 Ir 0.0838 0.1933 0.4763  2 Pu 2.74-2.75, 1 Ir 2.91, 4 Dy 2.92-3.06

## Properties
Raw total energy ... -9.7808 eV/atom
E above lowest polymorph ... 22 meV/atom
Space-group type ... No. 2
Energy of formation ... -0.516 eV/atom
Total magnetic moment ... 5.88 μB per formula unit

No. 2
First-principles (PBE-GGA) data for DyPu2Ir2 after structural relaxation, as listed in Alexandria via LeMat-Bulk.

Lattice parameters (Å, degrees): 4.1350 5.6789 9.9760 90.00 101.96 90.00
Closest atoms and distances in Å follow each position.
Atoms (fractional coordinates):
1 Dy 0.6311 0.0231 0.2622  4 Ir 2.77-3.01
2 Dy 0.3689 0.5231 0.7378  4 Ir 2.77-3.01
3 Pu 0.0000 0.2732 0.0000  2 Pu 2.84, 4 Ir 2.96
4 Pu 0.1811 0.5231 0.3622  6 Ir 2.75-2.97
5 Pu 0.8189 0.0231 0.6378  6 Ir 2.75-2.97
6 Pu 0.0000 0.7732 0.0000  2 Pu 2.84, 4 Ir 2.96
7 Ir 0.5806 0.5231 0.1611  6 Pu 2.85-2.96, 2 Dy 3.01
8 Ir 0.2259 0.0230 0.4517  4 Pu 2.75-2.97, 2 Dy 2.77
9 Ir 0.7741 0.5230 0.5483  4 Pu 2.75-2.97, 2 Dy 2.77
10 Ir 0.4194 0.0231 0.8389  6 Pu 2.85-2.96, 2 Dy 3.01

## Properties
Raw total energy ... -10.6443 eV/atom
Space-group type ... No. 63
Energy of formation ... -0.447 eV/atom
Total magnetic moment ... 10.47 μB per formula unit